The following is a PBE calculation of Re4Pb after structural relaxation, from Alexandria via LeMat-Bulk.

The structure in POSCAR format:
```
Re4Pb
1.0
-2.061 2.061 5.652
2.061 -2.061 5.652
2.061 2.061 -5.652
Re Pb
4 1
Cartesian
0.000 0.000 4.308
0.000 2.061 2.826
2.061 0.000 2.826
0.000 0.000 6.995
0.000 0.000 0.000
```

Calculated values
- N(E_F): 0.914 states/eV/atom
- Energy relative to the elements: 272 kJ/mol of formula units

***

The following is a PBE calculation of NbTcP2 after structural relaxation, from Alexandria via LeMat-Bulk.

The structure in POSCAR format:
```
NbTcP2
1.0
3.730 0.000 0.000
1.865 3.230 0.000
1.865 1.077 5.050
P Tc Nb
2 1 1
Cartesian
1.865 1.077 1.104
5.595 3.230 3.946
0.000 0.000 0.000
3.730 2.154 2.525
```

Calculated values
- N(E_F): 0.443 states/eV/atom
- Energy relative to the elements: -133 kJ/mol of formula units

***

The following is a PBE calculation of CsTePd2Pb after structural relaxation, from Alexandria via LeMat-Bulk.

The structure in POSCAR format:
```
CsTePd2Pb
1.0
-1.108 4.695 -1.869
-6.694 -1.544 0.090
-0.358 1.836 4.823
Pd Te Pb Cs
2 1 1 1
Cartesian
-0.554 2.347 -0.935
-0.179 0.918 2.412
-4.080 2.493 1.522
-3.347 -0.772 0.045
0.000 0.000 0.000
```

Calculated values
- N(E_F): 0.428 states/eV/atom
- Energy relative to the elements, uncorrected: 98.6 kJ/mol of atoms

***

The following is a PBE calculation of ErSi2Rh5 after structural relaxation, from Alexandria via LeMat-Bulk.

The structure in POSCAR format:
```
ErSi2Rh5
1.0
-2.866 -2.543 0.131
2.134 -5.146 2.907
-1.649 -0.721 6.021
Rh Er Si
5 1 2
Cartesian
-0.891 -4.641 2.622
0.243 -2.934 4.464
-1.490 -3.770 6.437
-2.453 -2.814 3.908
0.073 -5.597 5.151
0.000 0.000 0.000
-0.538 -2.160 2.416
-1.843 -6.251 6.643
```

Calculated values
- N(E_F): 0.643 states/eV/atom
- Energy relative to the elements, uncorrected: -75.9 kJ/mol of atoms

***

Among the records above, which one has the highest N(E_F)? Re4Pb